DFT (PBE+U) results for a relaxed structure of Gd2TmCo2B2O3.

The value obtained for the total energy is -6.892 eV/atom.

It has space group I4/mmm (No. 139), with a = 3.402 Å, b = 3.402 Å, c = 21.523 Å, α = 90.00°, β = 90.00° and γ = 90.00°. The distinct sites, in fractional coordinates, are Gd at (0.000, 0.000, 0.136), Tm at (0.000, 0.000, 0.500), Co at (0.000, 0.500, 0.250), B at (0.000, 0.000, 0.289), O at (0.000, 0.000, 0.000) and O at (0.000, 0.000, 0.400).